[1]
A plane-wave DFT calculation with PBE-GGA was carried out for AcGdO3 after structural relaxation.

Properties
Energy ... -8.0940 eV/atom
Space group ... R-3 (148)

a = 6.3263 Å, b = 6.3263 Å, c = 6.3263 Å
α = 57.87°, β = 57.87°, γ = 57.87°
Closest atoms and distances in Å follow each position.
Sites, in units of the cell vectors:
Ac1 0.1320 0.1320 0.1320  6 O 2.46-2.59
Ac2 0.8680 0.8680 0.8680  6 O 2.46-2.59
Gd1 0.3547 0.3547 0.3547  6 O 2.28-2.37
Gd2 0.6453 0.6453 0.6453  6 O 2.28-2.37
O1 0.0464 0.4749 0.7196  2 Gd 2.28-2.37, 1 Ac 2.46
O2 0.2804 0.9536 0.5251  2 Gd 2.28-2.37, 1 Ac 2.46
O3 0.4749 0.7196 0.0464  2 Gd 2.28-2.37, 1 Ac 2.46
O4 0.5251 0.2804 0.9536  2 Gd 2.28-2.37, 1 Ac 2.46
O5 0.7196 0.0464 0.4749  2 Gd 2.28-2.37, 1 Ac 2.46
O6 0.9536 0.5251 0.2804  2 Gd 2.28-2.37, 1 Ac 2.46



[2]
A plane-wave DFT calculation with PBE-GGA was carried out for Ac2Gd2O5 after structural relaxation.

Properties
E above lowest polymorph ... 0.7227 eV/atom
Space group ... P4/mmm (123)

a = 4.4760 Å, b = 4.4760 Å, c = 8.1603 Å
α = 90.00°, β = 90.00°, γ = 90.00°
Closest atoms and distances in Å follow each position.
Sites, in units of the cell vectors:
Ac1 0.0000 0.0000 0.2258  5 O 2.24-2.33
Ac2 0.0000 0.0000 0.7742  5 O 2.24-2.33
Gd1 0.5000 0.5000 0.0000  8 O 3.34, 8 Ac 3.66
Gd2 0.5000 0.5000 0.5000  8 O 2.75
O1 0.0000 0.0000 0.5000  2 Ac 2.24
O2 0.0000 0.5000 0.3041  2 Ac 2.33
O3 0.0000 0.5000 0.6959  2 Ac 2.33
O4 0.5000 0.0000 0.3041  2 Ac 2.33
O5 0.5000 0.0000 0.6959  2 Ac 2.33



[3]
A plane-wave DFT calculation with PBE-GGA was carried out for Ac2Gd2O5 after structural relaxation.

Properties
E above lowest polymorph ... 0.0000 eV/atom
Space group ... P4/mmm (123)

a = 4.4176 Å, b = 4.4176 Å, c = 8.1642 Å
α = 90.00°, β = 90.00°, γ = 90.00°
Closest atoms and distances in Å follow each position.
Sites, in units of the cell vectors:
Ac1 0.0000 0.0000 0.0000  8 O 3.02
Ac2 0.0000 0.0000 0.5000  12 O 2.99-3.12
Gd1 0.5000 0.5000 0.2359  5 O 2.16-2.21
Gd2 0.5000 0.5000 0.7641  5 O 2.16-2.21
O1 0.0000 0.5000 0.2524  2 Gd 2.21
O2 0.0000 0.5000 0.7476  2 Gd 2.21
O3 0.5000 0.0000 0.2524  2 Gd 2.21
O4 0.5000 0.0000 0.7476  2 Gd 2.21
O5 0.5000 0.5000 0.5000  2 Gd 2.16



[4]
A plane-wave DFT calculation with PBE-GGA was carried out for AcGdPO after structural relaxation.

Properties
E above lowest polymorph ... 0.4198 eV/atom
Space group ... P4/nmm (129)

a = 4.6459 Å, b = 4.6459 Å, c = 8.6047 Å
α = 90.00°, β = 90.00°, γ = 90.00°
Closest atoms and distances in Å follow each position.
Sites, in units of the cell vectors:
Ac1 0.2500 0.7500 0.0000  4 P 3.00, 4 Ac 3.29
Ac2 0.7500 0.2500 0.0000  4 P 3.00, 4 Ac 3.29
Gd1 0.2500 0.2500 0.4305  4 O 2.40
Gd2 0.7500 0.7500 0.5695  4 O 2.40
P1 0.2500 0.2500 0.7801  4 Ac 3.00, 1 Gd 3.01, 4 O 3.35
P2 0.7500 0.7500 0.2199  4 Ac 3.00, 1 Gd 3.01, 4 O 3.35
O1 0.2500 0.7500 0.5000  4 Gd 2.40
O2 0.7500 0.2500 0.5000  4 Gd 2.40



[5]
A plane-wave DFT calculation with PBE-GGA was carried out for AcGdPO after structural relaxation.

Properties
E above lowest polymorph ... 0.0536 eV/atom
Space group ... Pmc2_1 (26)

a = 4.4945 Å, b = 7.6054 Å, c = 6.2735 Å
α = 90.00°, β = 90.00°, γ = 90.00°
Closest atoms and distances in Å follow each position.
Sites, in units of the cell vectors:
Ac1 0.0000 0.2039 0.0000  2 O 2.54
Ac2 0.0000 0.7961 0.5000  2 O 2.54
Gd1 0.5000 0.3815 0.5633  2 O 2.25-2.28
Gd2 0.5000 0.6185 0.0633  2 O 2.25-2.28
P1 0.0000 0.1881 0.4972  2 Gd 2.72, 1 Ac 2.98
P2 0.0000 0.8119 0.9972  2 Gd 2.72, 1 Ac 2.98
O1 0.5000 0.3455 0.9240  2 Gd 2.25-2.28
O2 0.5000 0.6545 0.4240  2 Gd 2.25-2.28



[6]
A plane-wave DFT calculation with PBE-GGA was carried out for AcGdPO after structural relaxation.

Properties
E above lowest polymorph ... 0.0000 eV/atom
Space group ... Pmc2_1 (26)

a = 4.4255 Å, b = 5.7219 Å, c = 7.5177 Å
α = 90.00°, β = 90.00°, γ = 90.00°
Closest atoms and distances in Å follow each position.
Sites, in units of the cell vectors:
Ac1 0.0000 0.1056 0.0000  2 O 2.58-2.59
Ac2 0.0000 0.8944 0.5000  2 O 2.58-2.59
Gd1 0.5000 0.3683 0.3490  2 O 2.28
Gd2 0.5000 0.6317 0.8490  2 O 2.28
P1 0.5000 0.1679 0.7050  2 Gd 2.87-2.91, 4 Ac 3.12-3.15
P2 0.5000 0.8321 0.2050  2 Gd 2.87-2.91, 4 Ac 3.12-3.15
O1 0.0000 0.2778 0.3179  2 Gd 2.28
O2 0.0000 0.7222 0.8179  2 Gd 2.28



[7]
A plane-wave DFT calculation with PBE-GGA was carried out for AcGdPO after structural relaxation.

Properties
E above lowest polymorph ... 0.0402 eV/atom
Space group ... P4/nmm (129)

a = 4.5222 Å, b = 4.5222 Å, c = 9.3073 Å
α = 90.00°, β = 90.00°, γ = 90.00°
Closest atoms and distances in Å follow each position.
Sites, in units of the cell vectors:
Ac1 0.2500 0.2500 0.1202  4 O 2.52
Ac2 0.7500 0.7500 0.8798  4 O 2.52
Gd1 0.2500 0.7500 0.5000  4 P 2.80
Gd2 0.7500 0.2500 0.5000  4 P 2.80
P1 0.2500 0.2500 0.6771  4 Gd 2.80
P2 0.7500 0.7500 0.3229  4 Gd 2.80
O1 0.2500 0.7500 0.0000  4 Ac 2.52
O2 0.7500 0.2500 0.0000  4 Ac 2.52



[8]
A plane-wave DFT calculation with PBE-GGA was carried out for AcGdPb after structural relaxation.

Properties
E above lowest polymorph ... 0.0000 eV/atom
Space group ... F-43m (216)

a = 5.4643 Å, b = 5.4643 Å, c = 5.4643 Å
α = 60.00°, β = 60.00°, γ = 60.00°
Closest atoms and distances in Å follow each position.
Sites, in units of the cell vectors:
Ac1 0.0000 0.0000 0.0000  4 Pb 3.35
Gd1 0.5000 0.5000 0.5000  4 Pb 3.35
Pb1 0.2500 0.2500 0.2500  4 Gd 3.35, 4 Ac 3.35



[9]
A plane-wave DFT calculation with PBE-GGA was carried out for AcGdPu after structural relaxation.

Properties
E above lowest polymorph ... 0.0000 eV/atom
Space group ... F-43m (216)

a = 5.4886 Å, b = 5.4886 Å, c = 5.4886 Å
α = 60.00°, β = 60.00°, γ = 60.00°
Closest atoms and distances in Å follow each position.
Sites, in units of the cell vectors:
Ac1 0.0000 0.0000 0.0000  4 Pu 3.36
Gd1 0.5000 0.5000 0.5000  4 Pu 3.36
Pu1 0.2500 0.2500 0.2500  4 Gd 3.36, 4 Ac 3.36



[10]
A plane-wave DFT calculation with PBE-GGA was carried out for AcGdRe after structural relaxation.

Properties
Energy ... -6.6683 eV/atom
Space group ... F-43m (216)

a = 5.0007 Å, b = 5.0007 Å, c = 5.0007 Å
α = 60.00°, β = 60.00°, γ = 60.00°
Closest atoms and distances in Å follow each position.
Sites, in units of the cell vectors:
Ac1 0.0000 0.0000 0.0000  4 Re 3.06
Gd1 0.5000 0.5000 0.5000  4 Re 3.06
Re1 0.7500 0.7500 0.7500  4 Gd 3.06, 4 Ac 3.06



[11]
A plane-wave DFT calculation with PBE-GGA was carried out for AcGdSc after structural relaxation.

Properties
E above lowest polymorph ... 0.0000 eV/atom
Space group ... F-43m (216)

a = 5.4716 Å, b = 5.4716 Å, c = 5.4716 Å
α = 60.00°, β = 60.00°, γ = 60.00°
Closest atoms and distances in Å follow each position.
Sites, in units of the cell vectors:
Ac1 0.0000 0.0000 0.0000  4 Sc 3.35
Gd1 0.5000 0.5000 0.5000  4 Sc 3.35
Sc1 0.2500 0.2500 0.2500  4 Gd 3.35, 4 Ac 3.35



[12]
A plane-wave DFT calculation with PBE-GGA was carried out for AcSmGd after structural relaxation.

Properties
E above lowest polymorph ... 0.0000 eV/atom
Space group ... F-43m (216)

a = 5.6885 Å, b = 5.6885 Å, c = 5.6885 Å
α = 60.00°, β = 60.00°, γ = 60.00°
Closest atoms and distances in Å follow each position.
Sites, in units of the cell vectors:
Ac1 0.0000 0.0000 0.0000  4 Sm 3.48
Sm1 0.2500 0.2500 0.2500  4 Gd 3.48, 4 Ac 3.48
Gd1 0.5000 0.5000 0.5000  4 Sm 3.48



[13]
A plane-wave DFT calculation with PBE-GGA was carried out for AcGdTa after structural relaxation.

Properties
E above lowest polymorph ... 0.0000 eV/atom
Space group ... F-43m (216)

a = 5.2167 Å, b = 5.2167 Å, c = 5.2167 Å
α = 60.00°, β = 60.00°, γ = 60.00°
Closest atoms and distances in Å follow each position.
Sites, in units of the cell vectors:
Ac1 0.0000 0.0000 0.0000  4 Ta 3.19
Gd1 0.5000 0.5000 0.5000  4 Ta 3.19
Ta1 0.7500 0.7500 0.7500  4 Gd 3.19, 4 Ac 3.19



[14]
A plane-wave DFT calculation with PBE-GGA was carried out for AcTbGd after structural relaxation.

Properties
E above lowest polymorph ... 0.0000 eV/atom
Space group ... F-43m (216)

a = 5.6570 Å, b = 5.6570 Å, c = 5.6570 Å
α = 60.00°, β = 60.00°, γ = 60.00°
Closest atoms and distances in Å follow each position.
Sites, in units of the cell vectors:
Ac1 0.0000 0.0000 0.0000  4 Tb 3.46
Tb1 0.7500 0.7500 0.7500  4 Ac 3.46, 4 Gd 3.46
Gd1 0.5000 0.5000 0.5000  4 Tb 3.46



[15]
A plane-wave DFT calculation with PBE-GGA was carried out for AcGdU after structural relaxation.

Properties
E above lowest polymorph ... 0.0000 eV/atom
Space group ... F-43m (216)

a = 5.3989 Å, b = 5.3989 Å, c = 5.3989 Å
α = 60.00°, β = 60.00°, γ = 60.00°
Closest atoms and distances in Å follow each position.
Sites, in units of the cell vectors:
Ac1 0.0000 0.0000 0.0000  4 U 3.31
Gd1 0.5000 0.5000 0.5000  4 U 3.31
U1 0.7500 0.7500 0.7500  4 Gd 3.31, 4 Ac 3.31



[16]
A plane-wave DFT calculation with PBE-GGA was carried out for AcGdY after structural relaxation.

Properties
E above lowest polymorph ... 0.0000 eV/atom
Space group ... F-43m (216)

a = 5.6827 Å, b = 5.6827 Å, c = 5.6827 Å
α = 60.00°, β = 60.00°, γ = 60.00°
Closest atoms and distances in Å follow each position.
Sites, in units of the cell vectors:
Ac1 0.0000 0.0000 0.0000  4 Y 3.48
Gd1 0.5000 0.5000 0.5000  4 Y 3.48
Y1 0.2500 0.2500 0.2500  4 Gd 3.48, 4 Ac 3.48



[17]
A plane-wave DFT calculation with PBE-GGA was carried out for AcGdZn after structural relaxation.

Properties
E above lowest polymorph ... 0.0000 eV/atom
Space group ... F-43m (216)

a = 5.2045 Å, b = 5.2045 Å, c = 5.2045 Å
α = 60.00°, β = 60.00°, γ = 60.00°
Closest atoms and distances in Å follow each position.
Sites, in units of the cell vectors:
Ac1 0.0000 0.0000 0.0000  4 Zn 3.19
Gd1 0.5000 0.5000 0.5000  4 Zn 3.19
Zn1 0.2500 0.2500 0.2500  4 Gd 3.19, 4 Ac 3.19



[18]
A plane-wave DFT calculation with PBE-GGA was carried out for AcGdZr after structural relaxation.

Properties
Energy ... -4.6857 eV/atom
Space group ... F-43m (216)

a = 5.4169 Å, b = 5.4169 Å, c = 5.4169 Å
α = 60.00°, β = 60.00°, γ = 60.00°
Closest atoms and distances in Å follow each position.
Sites, in units of the cell vectors:
Ac1 0.0000 0.0000 0.0000  4 Gd 3.32, 4 Zr 3.32
Gd1 0.7500 0.7500 0.7500  4 Ac 3.32
Zr1 0.2500 0.2500 0.2500  4 Ac 3.32



[19]
A plane-wave DFT calculation with PBE-GGA was carried out for Ac8HgGe5 after structural relaxation.

Properties
Energy ... -4.6502 eV/atom
Space group ... I-4 (82)

a = 8.4896 Å, b = 8.4896 Å, c = 8.4896 Å
α = 109.60°, β = 109.60°, γ = 109.22°
Closest atoms and distances in Å follow each position.
Sites, in units of the cell vectors:
Ac1 0.0076 0.6160 0.7442  5 Ge 3.21-3.59, 1 Hg 3.29
Ac2 0.2454 0.5023 0.1199  4 Ge 3.19-3.56
Ac3 0.3824 0.1255 0.8801  4 Ge 3.19-3.56
Ac4 0.3840 0.1282 0.3916  5 Ge 3.21-3.59, 1 Hg 3.29
Ac5 0.4977 0.6176 0.7431  4 Ge 3.19-3.56
Ac6 0.7366 0.9924 0.6084  5 Ge 3.21-3.59, 1 Hg 3.29
Ac7 0.8718 0.2634 0.2558  5 Ge 3.21-3.59, 1 Hg 3.29
Ac8 0.8745 0.7546 0.2569  4 Ge 3.19-3.56
Hg1 0.0000 0.0000 0.0000  8 Ac 3.29-3.66
Ge1 0.1233 0.2468 0.6242  6 Ac 3.19-3.56
Ge2 0.2500 0.7500 0.5000  4 Ac 3.19
Ge3 0.5009 0.8767 0.1235  6 Ac 3.19-3.56
Ge4 0.6226 0.4991 0.3758  6 Ac 3.19-3.56
Ge5 0.7532 0.3774 0.8765  6 Ac 3.19-3.56



[20]
A plane-wave DFT calculation with PBE-GGA was carried out for Ac2HgGe2 after structural relaxation.

Properties
Energy ... -4.1927 eV/atom
Space group ... P4/mnc (128)

a = 8.0758 Å, b = 8.0758 Å, c = 9.0060 Å
α = 90.00°, β = 90.00°, γ = 90.00°
Closest atoms and distances in Å follow each position.
Sites, in units of the cell vectors:
Ac1 0.1834 0.3167 0.0000  6 Ge 3.25-3.33
Ac2 0.1833 0.3166 0.5000  6 Ge 3.25-3.33
Ac3 0.3167 0.8166 0.0000  6 Ge 3.25-3.33
Ac4 0.3166 0.8167 0.5000  6 Ge 3.25-3.33
Ac5 0.6833 0.1834 0.0000  6 Ge 3.25-3.33
Ac6 0.6834 0.1833 0.5000  6 Ge 3.25-3.33
Ac7 0.8166 0.6833 0.0000  6 Ge 3.25-3.33
Ac8 0.8167 0.6834 0.5000  6 Ge 3.25-3.33
Hg1 0.0000 0.0000 0.2495  4 Ge 3.26
Hg2 0.0000 0.0000 0.7505  4 Ge 3.26
Hg3 0.5000 0.5000 0.2505  4 Ge 3.26
Hg4 0.5000 0.5000 0.7495  4 Ge 3.26
Ge1 0.1118 0.6118 0.2500  1 Ge 2.55
Ge2 0.1118 0.6118 0.7500  1 Ge 2.55
Ge3 0.3882 0.1118 0.2500  1 Ge 2.55
Ge4 0.3882 0.1118 0.7500  1 Ge 2.55
Ge5 0.6118 0.8882 0.2500  1 Ge 2.55
Ge6 0.6118 0.8882 0.7500  1 Ge 2.55
Ge7 0.8882 0.3882 0.2500  1 Ge 2.55
Ge8 0.8882 0.3882 0.7500  1 Ge 2.55